The following is a DFT calculation (PBE-GGA) of a relaxed structure of CrRePS2.

Properties
Crystal system ... tetragonal
E_form (uncorrected) ... 523 kJ/mol of formula units
Calculated total energy ... -6.06 eV/atom
SG ... No. 123

Lattice parameters (Å, degrees): 4.4086 4.4086 4.6041 90.00 90.00 90.00
Fractional coordinates of all 5 atoms:
Cr 0.0000 0.0000 0.0000
Re 0.5000 0.5000 0.5000
P 0.0000 0.0000 0.5000
S 0.0000 0.5000 0.0000
S 0.5000 0.0000 0.0000